# BaTiBiC2 GGA-PBE optimized geometry
data_BaTiBiC2
_chemical_formula_sum 'Ba1 Ti1 Bi1 C2'
_space_group_name_H-M_alt 'P 4/m m m'
_space_group_IT_number 123
_space_group_name_Hall '-P 4 2'
_cell_length_a 4.716
_cell_length_b 4.716
_cell_length_c 6.300
_cell_angle_alpha 90.00
_cell_angle_beta 90.00
_cell_angle_gamma 90.00
loop_
_atom_site_label
_atom_site_type_symbol
_atom_site_fract_x
_atom_site_fract_y
_atom_site_fract_z
_atom_site_occupancy
Ba1 Ba 0.000 0.000 0.000 1
Ti1 Ti 0.500 0.500 0.000 1
Bi1 Bi 0.000 0.000 0.500 1
C1 C 0.000 0.500 0.500 1
# - crystal system = tetragonal
# - raw total energy (eV for the cell shown) = -18.6
# - total moment (μB/atom) = 0.145
# - volume (Å³ per atom) = 28.0
# - ΔE_f (eV per atom) = 2.710



# Ba2ZrBiC GGA-PBE optimized geometry
data_Ba2ZrBiC
_chemical_formula_sum 'Ba2 Zr1 Bi1 C1'
_space_group_name_H-M_alt 'P 4/m m m'
_space_group_IT_number 123
_space_group_name_Hall '-P 4 2'
_cell_length_a 6.396
_cell_length_b 6.396
_cell_length_c 5.516
_cell_angle_alpha 90.00
_cell_angle_beta 90.00
_cell_angle_gamma 90.00
loop_
_atom_site_label
_atom_site_type_symbol
_atom_site_fract_x
_atom_site_fract_y
_atom_site_fract_z
_atom_site_occupancy
Ba1 Ba 0.000 0.500 0.000 1
Zr1 Zr 0.000 0.000 0.000 1
Bi1 Bi 0.000 0.000 0.500 1
C1 C 0.500 0.500 0.500 1
# - crystal system = tetragonal
# - raw total energy (eV for the cell shown) = -18.6
# - total moment (μB/atom) = 0.578
# - volume (Å³ per atom) = 45.1
# - ΔE_f (eV per atom) = 1.384



# Ba2ZrBiC GGA-PBE optimized geometry
data_Ba2ZrBiC
_chemical_formula_sum 'Ba2 Zr1 Bi1 C1'
_space_group_name_H-M_alt 'P 4/m m m'
_space_group_IT_number 123
_space_group_name_Hall '-P 4 2'
_cell_length_a 5.628
_cell_length_b 5.628
_cell_length_c 5.087
_cell_angle_alpha 90.00
_cell_angle_beta 90.00
_cell_angle_gamma 90.00
loop_
_atom_site_label
_atom_site_type_symbol
_atom_site_fract_x
_atom_site_fract_y
_atom_site_fract_z
_atom_site_occupancy
Ba1 Ba 0.000 0.500 0.000 1
Zr1 Zr 0.000 0.000 0.500 1
Bi1 Bi 0.500 0.500 0.500 1
C1 C 0.500 0.500 0.000 1
# - crystal system = tetragonal
# - raw total energy (eV for the cell shown) = -21.4
# - total moment (μB/atom) = 0.564
# - volume (Å³ per atom) = 32.2
# - ΔE_f (eV per atom) = 0.819



# BaCaBi2 GGA-PBE optimized geometry
data_BaCaBi2
_chemical_formula_sum 'Ba3 Ca3 Bi6'
_space_group_name_H-M_alt 'R -3 m'
_space_group_IT_number 166
_space_group_name_Hall '-R 3 2"'
_cell_length_a 4.3909
_cell_length_b 4.3909
_cell_length_c 28.2305
_cell_angle_alpha 90.00
_cell_angle_beta 90.00
_cell_angle_gamma 120.00
loop_
_atom_site_label
_atom_site_type_symbol
_atom_site_fract_x
_atom_site_fract_y
_atom_site_fract_z
_atom_site_occupancy
Ba1 Ba 0.0000 0.0000 0.0000 1
Ca1 Ca 0.0000 0.0000 0.5000 1
Bi1 Bi 0.0000 0.0000 0.2432 1
# - crystal system = trigonal
# - raw total energy (eV for the cell shown) = -42.2
# - total moment (μB/atom) = 0.000
# - volume (Å³ per atom) = 39.3
# - ΔE_f (eV per atom) = -0.595



# BaCaBi4 GGA-PBE optimized geometry
data_BaCaBi4
_chemical_formula_sum 'Ba4 Ca4 Bi16'
_space_group_name_H-M_alt 'F -4 3 m'
_space_group_IT_number 216
_space_group_name_Hall 'F -4 2 3'
_cell_length_a 9.531
_cell_length_b 9.531
_cell_length_c 9.531
_cell_angle_alpha 90.00
_cell_angle_beta 90.00
_cell_angle_gamma 90.00
loop_
_atom_site_label
_atom_site_type_symbol
_atom_site_fract_x
_atom_site_fract_y
_atom_site_fract_z
_atom_site_occupancy
Ba1 Ba 0.000 0.000 0.000 1
Ca1 Ca 0.250 0.250 0.250 1
Bi1 Bi 0.124 0.124 0.624 1
# - crystal system = cubic
# - raw total energy (eV for the cell shown) = -87.7
# - total moment (μB/atom) = 0.000
# - volume (Å³ per atom) = 36.1
# - ΔE_f (eV per atom) = -0.411



# Ba2CaBi2 GGA-PBE optimized geometry
data_Ba2CaBi2
_chemical_formula_sum 'Ba4 Ca2 Bi4'
_space_group_name_H-M_alt 'P 4/m b m'
_space_group_IT_number 127
_space_group_name_Hall '-P 4 2ab'
_cell_length_a 9.908
_cell_length_b 9.908
_cell_length_c 4.178
_cell_angle_alpha 90.00
_cell_angle_beta 90.00
_cell_angle_gamma 90.00
loop_
_atom_site_label
_atom_site_type_symbol
_atom_site_fract_x
_atom_site_fract_y
_atom_site_fract_z
_atom_site_occupancy
Ba1 Ba 0.125 0.375 0.000 1
Ca1 Ca 0.000 0.000 0.000 1
Bi1 Bi 0.177 0.677 0.500 1
# - crystal system = tetragonal
# - raw total energy (eV for the cell shown) = -33.0
# - total moment (μB/atom) = 0.000
# - volume (Å³ per atom) = 41.0
# - ΔE_f (eV per atom) = -0.575



# Ba2Ca3Bi4 GGA-PBE optimized geometry
data_Ba2Ca3Bi4
_chemical_formula_sum 'Ba4 Ca6 Bi8'
_space_group_name_H-M_alt 'P 1 21/c 1'
_space_group_IT_number 14
_cell_length_a 8.451
_cell_length_b 9.412
_cell_length_c 8.812
_cell_angle_alpha 90.00
_cell_angle_beta 108.42
_cell_angle_gamma 90.00
loop_
_space_group_symop_operation_xyz
'x,y,z'
'-x,-y,-z'
'-x,y+1/2,-z+1/2'
'x,-y+1/2,z+1/2'
loop_
_atom_site_label
_atom_site_type_symbol
_atom_site_fract_x
_atom_site_fract_y
_atom_site_fract_z
_atom_site_occupancy
Ba1 Ba 0.196 0.181 0.057 1
Ca1 Ca 0.266 0.639 0.282 1
Ca2 Ca 0.500 0.000 0.500 1
Bi1 Bi 0.088 0.541 0.867 1
Bi2 Bi 0.481 0.645 0.659 1
# - crystal system = monoclinic
# - raw total energy (eV for the cell shown) = -67.1
# - total moment (μB/atom) = 0.000
# - volume (Å³ per atom) = 36.9
# - ΔE_f (eV per atom) = -0.906



# Ba2CaBi GGA-PBE optimized geometry
data_Ba2CaBi
_chemical_formula_sum 'Ba2 Ca1 Bi1'
_space_group_name_H-M_alt 'P 4/m m m'
_space_group_IT_number 123
_space_group_name_Hall '-P 4 2'
_cell_length_a 5.711
_cell_length_b 5.711
_cell_length_c 5.214
_cell_angle_alpha 90.00
_cell_angle_beta 90.00
_cell_angle_gamma 90.00
loop_
_atom_site_label
_atom_site_type_symbol
_atom_site_fract_x
_atom_site_fract_y
_atom_site_fract_z
_atom_site_occupancy
Ba1 Ba 0.000 0.500 0.000 1
Ca1 Ca 0.000 0.000 0.500 1
Bi1 Bi 0.500 0.500 0.500 1
# - crystal system = tetragonal
# - raw total energy (eV for the cell shown) = -11.5
# - total moment (μB/atom) = 0.000
# - volume (Å³ per atom) = 42.5
# - ΔE_f (eV per atom) = -0.445



# Ba2CaBi2 GGA-PBE optimized geometry
data_Ba2CaBi2
_chemical_formula_sum 'Ba4 Ca2 Bi4'
_space_group_name_H-M_alt 'I 4/m m m'
_space_group_IT_number 139
_space_group_name_Hall '-I 4 2'
_cell_length_a 5.477
_cell_length_b 5.477
_cell_length_c 15.116
_cell_angle_alpha 90.00
_cell_angle_beta 90.00
_cell_angle_gamma 90.00
loop_
_atom_site_label
_atom_site_type_symbol
_atom_site_fract_x
_atom_site_fract_y
_atom_site_fract_z
_atom_site_occupancy
Ba1 Ba 0.000 0.500 0.250 1
Ca1 Ca 0.000 0.000 0.000 1
Bi1 Bi 0.000 0.000 0.396 1
# - crystal system = tetragonal
# - raw total energy (eV for the cell shown) = -31.1
# - total moment (μB/atom) = 0.000
# - volume (Å³ per atom) = 45.3
# - ΔE_f (eV per atom) = -0.393



# Ba2CaBi2 GGA-PBE optimized geometry
data_Ba2CaBi2
_chemical_formula_sum 'Ba4 Ca2 Bi4'
_space_group_name_H-M_alt 'P 4/m b m'
_space_group_IT_number 127
_space_group_name_Hall '-P 4 2ab'
_cell_length_a 9.268
_cell_length_b 9.268
_cell_length_c 4.842
_cell_angle_alpha 90.00
_cell_angle_beta 90.00
_cell_angle_gamma 90.00
loop_
_atom_site_label
_atom_site_type_symbol
_atom_site_fract_x
_atom_site_fract_y
_atom_site_fract_z
_atom_site_occupancy
Ba1 Ba 0.136 0.364 0.000 1
Ca1 Ca 0.000 0.000 0.500 1
Bi1 Bi 0.171 0.671 0.500 1
# - crystal system = tetragonal
# - raw total energy (eV for the cell shown) = -35.3
# - total moment (μB/atom) = 0.000
# - volume (Å³ per atom) = 41.6
# - ΔE_f (eV per atom) = -0.805



# BaCaBi2 GGA-PBE optimized geometry
data_BaCaBi2
_chemical_formula_sum 'Ba4 Ca4 Bi8'
_space_group_name_H-M_alt 'F m -3 m'
_space_group_IT_number 225
_space_group_name_Hall '-F 4 2 3'
_cell_length_a 8.340
_cell_length_b 8.340
_cell_length_c 8.340
_cell_angle_alpha 90.00
_cell_angle_beta 90.00
_cell_angle_gamma 90.00
loop_
_atom_site_label
_atom_site_type_symbol
_atom_site_fract_x
_atom_site_fract_y
_atom_site_fract_z
_atom_site_occupancy
Ba1 Ba 0.000 0.000 0.000 1
Ca1 Ca 0.000 0.000 0.500 1
Bi1 Bi 0.250 0.250 0.250 1
# - crystal system = cubic
# - raw total energy (eV for the cell shown) = -57.7
# - total moment (μB/atom) = 0.000
# - volume (Å³ per atom) = 36.3
# - ΔE_f (eV per atom) = -0.683



# Ba2CaBi GGA-PBE optimized geometry
data_Ba2CaBi
_chemical_formula_sum 'Ba6 Ca3 Bi3'
_space_group_name_H-M_alt 'R -3 m'
_space_group_IT_number 166
_space_group_name_Hall '-R 3 2"'
_cell_length_a 4.0436
_cell_length_b 4.0436
_cell_length_c 41.5201
_cell_angle_alpha 90.00
_cell_angle_beta 90.00
_cell_angle_gamma 120.00
loop_
_atom_site_label
_atom_site_type_symbol
_atom_site_fract_x
_atom_site_fract_y
_atom_site_fract_z
_atom_site_occupancy
Ba1 Ba 0.0000 0.0000 0.0836 1
Ca1 Ca 0.0000 0.0000 0.5000 1
Bi1 Bi 0.0000 0.0000 0.0000 1
# - crystal system = trigonal
# - raw total energy (eV for the cell shown) = -28.1
# - total moment (μB/atom) = 0.000
# - volume (Å³ per atom) = 49.0
# - ΔE_f (eV per atom) = 0.093



Question: Which of these has the highest volume?
Answer: number 12